VASP calculation (PBE) on an optimized crystal structure of Zr3NbRe.

Summary:
Calculated volume: 126.0 Å³ per cell
D(E_F): 1.25 states/eV/atom
Offset from the most stable computed form: 0.0000 eV per atom
Energy relative to the elements: 0.865 eV/atom
Theoretical density: 7.28 g/cm³

Cell lengths 5.0138, 5.0138, 5.0138 Å; angles 90.00, 90.00, 90.00 degrees
Closest atoms and distances in Å follow each position.
Fractional coordinates of all 5 atoms:
1 Zr 0.0000 0.0000 0.5000  2 Re 2.51
2 Zr 0.0000 0.5000 0.0000  2 Re 2.51
3 Zr 0.5000 0.0000 0.0000  2 Re 2.51
4 Nb 0.5000 0.5000 0.5000  12 Zr 3.55
5 Re 0.0000 0.0000 0.0000  6 Zr 2.51